No. 1
DFT (PBE-GGA) results for Na2Pa2IrS6 after structural relaxation.

a b c (Å): 6.458 6.458 7.318
angles (deg): 98.04 98.04 119.42
Atoms (fractional coordinates):
Na (0.170, 0.830, 0.000)
Na (0.830, 0.170, 0.000)
Pa (0.343, 0.657, 0.500)
Pa (0.657, 0.343, 0.500)
Ir (0.000, 0.000, 0.500)
S (0.066, 0.386, 0.714)
S (0.225, 0.225, 0.273)
S (0.386, 0.066, 0.714)
S (0.614, 0.934, 0.286)
S (0.775, 0.775, 0.727)
S (0.934, 0.614, 0.286)

Summary:
- raw formation energy (eV per atom) = -1.160
- space-group type = C2/m (12)
- volume (A^3/atom) = 23.22
- crystal system = monoclinic

***

No. 2
DFT (PBE-GGA) results for NaPaIr4S8 after structural relaxation.

a b c (Å): 7.228 7.228 7.228
angles (deg): 61.27 61.27 61.27
Atoms (fractional coordinates):
Na (0.000, 0.000, 0.000)
Pa (0.616, 0.616, 0.616)
Ir (0.127, 0.627, 0.627)
Ir (0.250, 0.250, 0.250)
Ir (0.627, 0.127, 0.627)
Ir (0.627, 0.627, 0.127)
S (0.360, 0.360, 0.863)
S (0.360, 0.863, 0.360)
S (0.389, 0.389, 0.389)
S (0.420, 0.874, 0.874)
S (0.856, 0.856, 0.856)
S (0.863, 0.360, 0.360)
S (0.874, 0.420, 0.874)
S (0.874, 0.874, 0.420)

Summary:
- raw formation energy (eV per atom) = -0.592
- space-group type = R3m (160)
- volume (A^3/atom) = 19.61
- crystal system = trigonal

***

Number 1: size of the total moment 3.06 μB/cell, D(E_F) 0.64 states/eV per atom. Number 2: size of the total moment 1.70 μB/cell, D(E_F) 0.70 states/eV per atom.